# 1
VASP calculation (PBE) on a geometry-optimized SrLiCeN2 structure.

Its calculated volume is 85.4 Å³/cell. Its density is 5.11 g cm⁻³. The calculated total energy comes out at -6.06 eV per atom.

It has space group P3m1 (No. 156), with a = 3.9124 Å, b = 3.9124 Å, c = 6.4408 Å, α = 90.00°, β = 90.00° and γ = 120.00°. The asymmetric unit holds Sr at (0.0000, 0.0000, 0.0000), Li at (0.6667, 0.3333, 0.2874), Ce at (0.3333, 0.6667, 0.5623), N at (0.3333, 0.6667, 0.2095) and N at (0.6667, 0.3333, 0.6739).

# 2
VASP calculation (PBE) on a geometry-optimized CeNd6HoTm2 structure.

Its calculated volume is 684.7 Å³/cell. Its density is 7.32 g cm⁻³. The calculation puts the formation energy at 0.2377 eV/atom.

It has space group C2/m (No. 12), with a = 11.2396 Å, b = 7.0866 Å, c = 8.8258 Å, α = 90.00°, β = 103.11° and γ = 90.00°. The asymmetric unit holds Ce at (0.0000, 0.0000, 0.0000), Nd at (0.1290, 0.0000, 0.4208), Nd at (0.1710, 0.2683, 0.7977), Ho at (0.0000, 0.5000, 0.5000) and Tm at (0.0920, 0.5000, 0.1628).

# 3
VASP calculation (PBE) on a geometry-optimized TaCrW2 structure.

Its calculated volume is 248.8 Å³/cell. Its density is 16.03 g cm⁻³. The calculation puts the formation energy at -0.0225 eV/atom. The value obtained for the energy above the lowest structure with this stoichiometry is 0.009 eV per atom.

It has space group F-43m (No. 216), with a = 6.2896 Å, b = 6.2896 Å, c = 6.2896 Å, α = 90.00°, β = 90.00° and γ = 90.00°. The asymmetric unit holds Ta at (0.0000, 0.0000, 0.0000), Cr at (0.2500, 0.2500, 0.7500), W at (0.0000, 0.0000, 0.5000) and W at (0.2500, 0.2500, 0.2500).